Arrangement w

A relaxed structure of SmTmAlTl. Source: Alexandria, functional PBE-GGA.

Cell lengths 5.267, 5.267, 5.267 Å; angles 60.00, 60.00, 60.00 degrees
Fractional positions:
Sm  0.000  0.000  0.000
Tm  0.500  0.500  0.500
Al  0.750  0.750  0.750
Tl  0.250  0.250  0.250

Symmetry   F-43m (216)



Arrangement x

A relaxed structure of SmTmAlTl. Source: Alexandria, functional PBE-GGA.

Cell lengths 3.654, 3.654, 7.719 Å; angles 90.00, 90.00, 90.00 degrees
Fractional positions:
Sm  0.000  0.000  0.000
Tm  0.000  0.000  0.470
Al  0.500  0.500  0.245
Tl  0.500  0.500  0.722

Symmetry   P4mm (99)



Compare the structures above. Which one is the most stable? arrangement x is.